Below is a relaxed structure of BiRu3S, with properties calculated at the PBE level.

POSCAR file:
```
BiRu3S
1.0
5.034 0.000 0.000
0.000 5.034 0.000
0.000 0.000 5.034
Bi Ru S
1 3 1
Cartesian
0.000 0.000 0.000
0.000 0.000 2.517
0.000 2.517 0.000
2.517 0.000 0.000
2.517 2.517 2.517
```

## Properties
Excess energy over the best structure of this formula in the dataset in eV per atom: 1.7825
Fermi-level density of states in states/eV/atom: 0.970
Final energy in eV per formula unit: -24.75
Formation energy (no corrections) in eV/atom: 2.22

Below is a relaxed structure of BiRuSe2S, with properties calculated at the PBE level.

POSCAR file:
```
BiRuSe2S
1.0
5.457 0.000 0.000
0.000 5.457 0.000
0.000 0.000 5.109
Bi Ru Se S
1 1 2 1
Cartesian
0.000 0.000 0.000
2.729 2.729 2.555
0.000 2.729 0.000
2.729 0.000 0.000
0.000 0.000 2.555
```

## Properties
Fermi-level density of states in states/eV/atom: 1.133
Final energy in eV per formula unit: -18.00
Formation energy (no corrections) in eV/atom: 1.25

Below is a relaxed structure of TcBiRu2S, with properties calculated at the PBE level.

POSCAR file:
```
TcBiRu2S
1.0
4.648 0.000 0.000
0.000 4.648 0.000
0.000 0.000 5.329
Tc Bi Ru S
1 1 2 1
Cartesian
0.000 0.000 0.000
0.000 0.000 2.665
0.000 2.324 0.000
2.324 0.000 0.000
2.324 2.324 2.665
```

## Properties
Fermi-level density of states in states/eV/atom: 1.241
Final energy in eV per formula unit: -29.66
Formation energy (no corrections) in eV/atom: 1.45

Below is a relaxed structure of ZrBiRu2S, with properties calculated at the PBE level.

POSCAR file:
```
ZrBiRu2S
1.0
4.918 0.000 0.000
0.000 4.918 0.000
0.000 0.000 5.163
Zr Bi Ru S
1 1 2 1
Cartesian
0.000 0.000 0.000
2.459 2.459 2.582
0.000 2.459 2.582
2.459 0.000 2.582
2.459 2.459 0.000
```

## Properties
Fermi-level density of states in states/eV/atom: 0.915
Final energy in eV per formula unit: -27.69
Formation energy (no corrections) in eV/atom: 1.48

Below is a relaxed structure of Bi2Sb2Ru, with properties calculated at the PBE level.

POSCAR file:
```
Bi2Sb2Ru
1.0
7.082 0.000 0.000
0.000 7.082 0.000
0.000 0.000 5.539
Bi Sb Ru
4 4 2
Cartesian
1.109 2.432 0.000
2.432 5.973 0.000
4.650 1.109 0.000
5.973 4.650 0.000
1.094 4.635 2.769
2.447 1.094 2.769
4.635 5.988 2.769
5.988 2.447 2.769
0.000 0.000 0.000
3.541 3.541 0.000
```

## Properties
Excess energy over the best structure of this formula in the dataset in eV per atom: 0.0000
Fermi-level density of states in states/eV/atom: 0.813
Final energy in eV per formula unit: -22.58
Formation energy (no corrections) in eV/atom: 0.54

Below is a relaxed structure of Bi3SbRu, with properties calculated at the PBE level.

POSCAR file:
```
Bi3SbRu
1.0
5.301 0.000 0.000
0.000 5.301 0.000
0.000 0.000 5.301
Bi Sb Ru
3 1 1
Cartesian
0.000 0.000 2.651
0.000 2.651 0.000
2.651 0.000 0.000
2.651 2.651 2.651
0.000 0.000 0.000
```

## Properties
Excess energy over the best structure of this formula in the dataset in eV per atom: 0.0000
Fermi-level density of states in states/eV/atom: 0.817
Final energy in eV per formula unit: -22.84
Formation energy (no corrections) in eV/atom: 0.44

Below is a relaxed structure of Bi2Sb2Ru, with properties calculated at the PBE level.

POSCAR file:
```
Bi2Sb2Ru
1.0
3.913 0.000 0.000
0.000 3.913 0.000
0.000 0.000 19.080
Bi Sb Ru
4 4 2
Cartesian
0.000 0.000 1.529
0.000 0.000 17.551
1.957 1.957 8.011
1.957 1.957 11.068
0.000 1.957 4.770
0.000 1.957 14.310
1.957 0.000 4.770
1.957 0.000 14.310
0.000 0.000 9.540
1.957 1.957 0.000
```

## Properties
Excess energy over the best structure of this formula in the dataset in eV per atom: 0.0834
Fermi-level density of states in states/eV/atom: 0.566
Final energy in eV per formula unit: -22.17
Formation energy (no corrections) in eV/atom: 0.62

Below is a relaxed structure of BiSb2Ru, with properties calculated at the PBE level.

POSCAR file:
```
BiSb2Ru
1.0
6.448 0.000 0.000
0.000 6.448 0.000
0.000 0.000 12.644
Bi Sb Ru
4 8 4
Cartesian
0.000 0.000 0.000
0.000 3.224 3.161
3.224 0.000 9.483
3.224 3.224 6.322
1.163 1.612 7.902
1.612 4.387 11.063
1.612 5.285 4.741
2.061 1.612 1.580
4.387 4.836 1.580
4.836 1.163 4.741
4.836 2.061 11.063
5.285 4.836 7.902
0.000 0.000 6.322
0.000 3.224 9.483
3.224 0.000 3.161
3.224 3.224 0.000
```

## Properties
Fermi-level density of states in states/eV/atom: 0.962
Final energy in eV per formula unit: -20.23
Formation energy (no corrections) in eV/atom: 0.29